[1]
LaPmCo4 (GGA-PBE, optimized geometry); calculated density = 9.0 Mg/m³; formation energy from the elements = -47 meV/atom
1.0
0.000 3.637 3.637
3.637 0.000 3.637
3.637 3.637 0.000
La Pm Co
1 1 4
Cartesian
0.000 0.000 0.000
5.455 5.455 5.455
2.729 2.729 2.729
4.545 4.545 2.729
4.545 2.729 4.545
2.729 4.545 4.545


[2]
MnRuN2 (GGA-PBE, optimized geometry); E = -34.15 eV per cell; calculated density = 7.8 Mg/m³
1.0
1.340 0.774 6.308
-1.340 0.774 6.308
0.000 -1.548 6.308
Mn Ru N
1 1 2
Cartesian
0.000 0.000 0.000
0.000 0.000 9.462
0.000 0.000 7.504
0.000 0.000 11.420


[3]
Pu2GeP3Pd4 (GGA-PBE, optimized geometry); calculated density = 10.1 Mg/m³; formation energy from the elements = -681 meV/atom
1.0
4.185 0.000 0.000
0.000 4.185 0.000
0.000 0.000 10.113
Pu Ge P Pd
2 1 3 4
Cartesian
0.000 2.093 2.494
2.093 0.000 7.619
0.000 0.000 5.057
0.000 2.093 8.730
2.093 0.000 1.383
2.093 2.093 5.057
0.000 0.000 0.000
0.000 2.093 6.385
2.093 0.000 3.728
2.093 2.093 0.000